No. 1
Compound: TiFeW2O
Source: the Alexandria database
Functional: GGA+U
Structure: optimized geometry

The structure belongs to space group P4/mmm (No. 123); the cell edges are 4.276, 4.276 and 4.019 Å and the angles 90.00°, 90.00° and 90.00°. Symmetry generates all atoms from Ti at (0.000, 0.000, 0.000), Fe at (0.500, 0.500, 0.000), W at (0.000, 0.500, 0.500) and O at (0.000, 0.000, 0.500).

Its uncorrected energy is -6.36 eV/atom.

=====

No. 2
Compound: Y2TiFeO6
Source: the Alexandria database
Functional: GGA+U
Structure: optimized geometry

The structure belongs to space group P4mm (No. 99); the cell edges are 5.361, 5.361 and 4.332 Å and the angles 90.00°, 90.00° and 90.00°. Symmetry generates all atoms from Y at (0.000, 0.500, 0.000), Ti at (0.000, 0.000, 0.584), Fe at (0.500, 0.500, 0.644), O at (0.000, 0.000, 0.166), O at (0.243, 0.243, 0.697) and O at (0.500, 0.500, 0.157).

Its uncorrected energy is -8.12 eV/atom.

=====

No. 3
Compound: Ti2ZnFeO
Source: the Alexandria database
Functional: GGA+U
Structure: optimized geometry

The structure belongs to space group P4/mmm (No. 123); the cell edges are 4.298, 4.298 and 4.451 Å and the angles 90.00°, 90.00° and 90.00°. Symmetry generates all atoms from Ti at (0.000, 0.500, 0.000), Zn at (0.000, 0.000, 0.500), Fe at (0.000, 0.000, 0.000) and O at (0.500, 0.500, 0.500).

Its uncorrected energy is -4.53 eV/atom.

=====

No. 4
Compound: ZrTiFe2O6
Source: the Alexandria database
Functional: GGA+U
Structure: optimized geometry

The structure belongs to space group P1 (No. 1); the cell edges are 5.288, 5.295 and 5.640 Å and the angles 62.30°, 62.47° and 60.32°. Symmetry generates all atoms from Zr at (0.000, 0.000, 0.000), Ti at (0.506, 0.493, 0.502), Fe at (0.213, 0.205, 0.366), Fe at (0.714, 0.698, 0.868), O at (0.151, 0.391, 0.679), O at (0.292, 0.885, 0.204), O at (0.414, 0.761, 0.689), O at (0.619, 0.288, 0.201), O at (0.780, 0.137, 0.681) and O at (0.887, 0.618, 0.185).

Its uncorrected energy is -8.19 eV/atom.

=====

No. 5
Compound: TlFeO3
Source: the Alexandria database
Functional: GGA+U
Structure: optimized geometry

The structure belongs to space group Pmmn (No. 59, origin choice 2); the cell edges are 2.983, 6.045 and 6.722 Å and the angles 90.00°, 90.00° and 90.00°. Symmetry generates all atoms from Tl at (0.250, 0.250, 0.128), Fe at (0.250, 0.750, 0.344), O at (0.250, 0.047, 0.820) and O at (0.250, 0.250, 0.467).

Its uncorrected energy is -5.33 eV/atom.

=====

No. 6
Compound: TlFe3O
Source: the Alexandria database
Functional: GGA+U
Structure: optimized geometry

The structure belongs to space group Pm-3m (No. 221); the cell edges are 5.155, 5.155 and 5.155 Å and the angles 90.00°, 90.00° and 90.00°. Symmetry generates all atoms from Tl at (0.000, 0.000, 0.000), Fe at (0.000, 0.000, 0.500) and O at (0.500, 0.500, 0.500).

As for the distance to the lowest polymorph of the same formula: 1.5586 eV/atom.